Entry from Alexandria: an optimized crystal structure of ThTa2Fe9 (PBE).

Computed properties:
As for the space group: R-3m, No. 166. The calculation puts the formation energy at -0.130 eV per atom. As for the density of states at the Fermi level: 12.4 states/eV per cell. The value obtained for the raw total energy is -9.071 eV/atom.

Lattice parameters (Å, degrees): 8.467 8.467 8.467 33.69 33.69 33.69
Element x y z (fractional)
Th: 0.000 0.000 0.000
Ta: 0.144 0.144 0.144
Ta: 0.856 0.856 0.856
Fe: 0.083 0.590 0.590
Fe: 0.333 0.333 0.333
Fe: 0.410 0.410 0.917
Fe: 0.410 0.917 0.410
Fe: 0.500 0.500 0.500
Fe: 0.590 0.083 0.590
Fe: 0.590 0.590 0.083
Fe: 0.667 0.667 0.667
Fe: 0.917 0.410 0.410

Entry from Alexandria: an optimized crystal structure of ThTaFe (PBE).

Computed properties:
As for the space group: Fmmm, No. 69. The calculation puts the formation energy at 0.056 eV per atom. As for the density of states at the Fermi level: 5.9 states/eV per cell. The value obtained for the raw total energy is -9.189 eV/atom.

Lattice parameters (Å, degrees): 6.425 5.446 5.184 74.33 54.70 50.97
Element x y z (fractional)
Th: 0.166 0.166 0.834
Th: 0.834 0.834 0.166
Ta: 0.336 0.664 0.336
Ta: 0.664 0.336 0.664
Fe: 0.250 0.250 0.250
Fe: 0.750 0.750 0.750

Entry from Alexandria: an optimized crystal structure of ThTaFe10 (PBE).

Computed properties:
As for the space group: Pmmm, No. 47. The calculation puts the formation energy at 0.027 eV per atom. As for the density of states at the Fermi level: 13.8 states/eV per cell. The value obtained for the raw total energy is -8.632 eV/atom.

Lattice parameters (Å, degrees): 4.018 4.853 8.444 90.00 90.00 90.00
Element x y z (fractional)
Th: 0.000 0.000 0.000
Ta: 0.000 0.500 0.500
Fe: 0.000 0.000 0.346
Fe: 0.000 0.000 0.654
Fe: 0.000 0.500 0.194
Fe: 0.000 0.500 0.806
Fe: 0.500 0.000 0.500
Fe: 0.500 0.255 0.263
Fe: 0.500 0.255 0.737
Fe: 0.500 0.500 0.000
Fe: 0.500 0.745 0.263
Fe: 0.500 0.745 0.737

- Which formula does entry 1 have?
  ThTa2Fe9

- What is the raw total energy in the second record?
  -9.189 eV/atom

- Look up the raw total energy of the first one.
  -9.071 eV/atom

- Look up the raw total energy of the second one.
  -9.189 eV/atom